(1)
# Zn2SiGeIr

An optimized crystal structure of Zn2SiGeIr (PBE, Alexandria).

E_form (uncorrected)	1125	meV/atom
magnetic moment	0.00	μB per formula unit

Cell lengths 4.534, 4.534, 4.705 Å; angles 90.00, 90.00, 90.00 degrees
Space group P4/mmm (No. 123)
Asymmetric unit:
Zn (0.000, 0.500, 0.000) (multiplicity 2)
Si (0.000, 0.000, 0.500) (multiplicity 1)
Ge (0.000, 0.000, 0.000) (multiplicity 1)
Ir (0.500, 0.500, 0.500) (multiplicity 1)

---

(2)
# CdSiIrO6

An optimized crystal structure of CdSiIrO6 (PBE, Alexandria).

E_form (uncorrected)	-1361	meV/atom
magnetic moment	1.10	μB per formula unit

Cell lengths 5.0004, 5.0004, 9.6970 Å; angles 90.00, 90.00, 120.00 degrees
Space group P-31c (No. 163)
Asymmetric unit:
Cd (0.0000, 0.0000, 0.0000) (multiplicity 2)
Si (0.3333, 0.6667, 0.2500) (multiplicity 2)
Ir (0.3333, 0.6667, 0.7500) (multiplicity 2)
O (0.0228, 0.3822, 0.1462) (multiplicity 12)

---

(3)
# Pu3Bi2Rh

An optimized crystal structure of Pu3Bi2Rh (PBE, Alexandria).

magnetic moment	5.68	μB per formula unit
energy of formation from the pure elements	-7.70	kcal/mol of atoms

Cell lengths 13.104, 4.488, 11.178 Å; angles 90.00, 90.00, 90.00 degrees
Space group Pnma (No. 62)
Asymmetric unit:
Pu (0.053, 0.250, 0.093) (multiplicity 4)
Pu (0.111, 0.750, 0.533) (multiplicity 4)
Pu (0.234, 0.750, 0.267) (multiplicity 4)
Bi (0.022, 0.250, 0.723) (multiplicity 4)
Bi (0.204, 0.750, 0.976) (multiplicity 4)
Rh (0.107, 0.250, 0.342) (multiplicity 4)

---

(4)
# Zr3NbSn

An optimized crystal structure of Zr3NbSn (PBE, Alexandria).

polymorph energy (0 for the lowest one)	0.509	eV/atom
magnetic moment	1.11	μB per formula unit
energy of formation from the pure elements	27.64	kcal/mol of atoms

Cell lengths 5.229, 5.229, 5.229 Å; angles 90.00, 90.00, 90.00 degrees
Space group Pm-3m (No. 221)
Asymmetric unit:
Zr (0.000, 0.000, 0.500) (multiplicity 3)
Nb (0.500, 0.500, 0.500) (multiplicity 1)
Sn (0.000, 0.000, 0.000) (multiplicity 1)

---

(5)
# Sr2NdErS4

An optimized crystal structure of Sr2NdErS4 (PBE, Alexandria).

E_form (uncorrected)	-2029	meV/atom
magnetic moment	0.00	μB per formula unit

Cell lengths 7.063, 4.071, 7.208 Å; angles 90.00, 108.98, 90.00 degrees
Space group P2/m (No. 10)
Asymmetric unit:
Sr (0.000, 0.000, 0.000) (multiplicity 1)
Sr (0.500, 0.500, 0.000) (multiplicity 1)
Nd (0.000, 0.500, 0.500) (multiplicity 1)
Er (0.500, 0.000, 0.500) (multiplicity 1)
S (0.255, 0.000, 0.736) (multiplicity 2)
S (0.266, 0.500, 0.270) (multiplicity 2)

---

(6)
# CuPtAu2

An optimized crystal structure of CuPtAu2 (PBE, Alexandria).

polymorph energy (0 for the lowest one)	0.058	eV/atom
magnetic moment	0.00	μB per formula unit
energy of formation from the pure elements	0.23	kcal/mol of atoms

Cell lengths 4.620, 4.620, 3.035 Å; angles 90.00, 90.00, 90.00 degrees
Space group P4/mmm (No. 123)
Asymmetric unit:
Cu (0.000, 0.000, 0.000) (multiplicity 1)
Pt (0.500, 0.500, 0.000) (multiplicity 1)
Au (0.000, 0.500, 0.500) (multiplicity 2)

---

(7)
# Pa2TiRh

An optimized crystal structure of Pa2TiRh (PBE, Alexandria).

polymorph energy (0 for the lowest one)	0.085	eV/atom
magnetic moment	0.00	μB per formula unit
energy of formation from the pure elements	-1.45	kcal/mol of atoms

Cell lengths 4.206, 4.206, 4.580 Å; angles 90.00, 90.00, 90.00 degrees
Space group P4/mmm (No. 123)
Asymmetric unit:
Pa (0.000, 0.500, 0.000) (multiplicity 2)
Ti (0.000, 0.000, 0.500) (multiplicity 1)
Rh (0.500, 0.500, 0.500) (multiplicity 1)

---

(8)
# Sr2PuN

An optimized crystal structure of Sr2PuN (PBE, Alexandria).

E_form (uncorrected)	-87	meV/atom
magnetic moment	7.30	μB per formula unit

Cell lengths 3.7126, 3.7126, 31.7476 Å; angles 90.00, 90.00, 120.00 degrees
Space group R-3m (No. 166, hexagonal axes)
Asymmetric unit:
Sr (0.0000, 0.0000, 0.1224) (multiplicity 6)
Pu (0.0000, 0.0000, 0.0000) (multiplicity 3)
N (0.0000, 0.0000, 0.5000) (multiplicity 3)

---

(9)
# TiCo2Mo2

An optimized crystal structure of TiCo2Mo2 (PBE, Alexandria).

polymorph energy (0 for the lowest one)	0.081	eV/atom
magnetic moment	0.00	μB per formula unit
energy of formation from the pure elements	3.10	kcal/mol of atoms

Cell lengths 7.372, 7.372, 2.613 Å; angles 90.00, 90.00, 90.00 degrees
Space group P4/mbm (No. 127)
Asymmetric unit:
Ti (0.000, 0.000, 0.000) (multiplicity 2)
Co (0.173, 0.327, 0.500) (multiplicity 4)
Mo (0.125, 0.625, 0.000) (multiplicity 4)

---

(10)
# InGeTeW2

An optimized crystal structure of InGeTeW2 (PBE, Alexandria).

E_form (uncorrected)	2060	meV/atom
magnetic moment	2.93	μB per formula unit

Cell lengths 5.020, 5.020, 5.256 Å; angles 90.00, 90.00, 90.00 degrees
Space group P4/mmm (No. 123)
Asymmetric unit:
In (0.000, 0.000, 0.000) (multiplicity 1)
Ge (0.500, 0.500, 0.000) (multiplicity 1)
Te (0.500, 0.500, 0.500) (multiplicity 1)
W (0.000, 0.500, 0.500) (multiplicity 2)

---

(11)
# AcInF5

An optimized crystal structure of AcInF5 (PBE, Alexandria).

E_form (uncorrected)	-3171	meV/atom
magnetic moment	0.00	μB per formula unit

Cell lengths 7.640, 6.683, 8.685 Å; angles 90.00, 95.10, 90.00 degrees
Space group C2/c (No. 15)
Asymmetric unit:
Ac (0.000, 0.004, 0.250) (multiplicity 4)
In (0.000, 0.500, 0.000) (multiplicity 4)
F (0.000, 0.390, 0.250) (multiplicity 4)
F (0.104, 0.155, 0.004) (multiplicity 8)
F (0.200, 0.308, 0.667) (multiplicity 8)

---

(12)
# Tb6Sm2Y3In

An optimized crystal structure of Tb6Sm2Y3In (PBE, Alexandria).

magnetic moment	0.00	μB per formula unit
energy of formation from the pure elements	-1.12	kcal/mol of atoms

Cell lengths 6.122, 10.614, 11.740 Å; angles 90.00, 100.05, 90.00 degrees
Space group C2/m (No. 12)
Asymmetric unit:
Tb (0.245, 0.000, 0.251) (multiplicity 4)
Tb (0.246, 0.164, 0.748) (multiplicity 8)
Sm (0.000, 0.334, 0.500) (multiplicity 4)
Y (0.000, 0.167, 0.000) (multiplicity 4)
Y (0.000, 0.500, 0.000) (multiplicity 2)
In (0.000, 0.000, 0.500) (multiplicity 2)